DFT (PBE) results for an optimized crystal structure of ScSiC3.

Structure (CIF):
```
data_ScSiC3
_cell_length_a 3.751
_cell_length_b 3.751
_cell_length_c 3.751
_cell_angle_alpha 90.00
_cell_angle_beta 90.00
_cell_angle_gamma 90.00
_symmetry_space_group_name_H-M 'P m -3 m'
_symmetry_Int_Tables_number 221
_symmetry_space_group_name_Hall '-P 4 2 3'
loop_
_atom_site_label
_atom_site_type_symbol
_atom_site_fract_x
_atom_site_fract_y
_atom_site_fract_z
Sc1 Sc 0.000 0.000 0.000
Si1 Si 0.500 0.500 0.500
C1 C 0.000 0.500 0.500
```

calculated volume: 10.55 A^3/atom
energy relative to the elements, uncorrected: 1115 meV/atom
distance to the lowest polymorph of the same formula: 0.000 eV/atom
DOS at the Fermi energy: 3.36 states/eV/f.u.